# GGA-PBE Zn3POs, optimized geometry
data_Zn3POs
_chemical_formula_sum 'Zn3 P1 Os1'
_cell_length_a 4.7878
_cell_length_b 4.7878
_cell_length_c 4.7878
_cell_angle_alpha 90.00
_cell_angle_beta 90.00
_cell_angle_gamma 90.00
_symmetry_space_group_name_H-M 'P 1'
_symmetry_Int_Tables_number 1
_symmetry_space_group_name_Hall 'P 1'
loop_
_atom_site_label
_atom_site_type_symbol
_atom_site_fract_x
_atom_site_fract_y
_atom_site_fract_z
Zn1 Zn 0.0000 0.0000 0.5000
Zn2 Zn 0.0000 0.5000 0.0000
Zn3 Zn 0.5000 0.0000 0.0000
P1 P 0.5000 0.5000 0.5000
Os1 Os 0.0000 0.0000 0.0000
# Energy above the most stable polymorph in this dataset in eV/atom: 0.000
# Energy relative to the elements in eV/atom: 1.11
# DFT total energy in eV/atom: -2.99
# Space group: No. 221


# GGA-PBE Ca6Mg3Cd, optimized geometry
data_Ca6Mg3Cd
_chemical_formula_sum 'Ca12 Mg6 Cd2'
_cell_length_a 9.6722
_cell_length_b 5.7413
_cell_length_c 12.4543
_cell_angle_alpha 90.00
_cell_angle_beta 109.34
_cell_angle_gamma 90.00
_symmetry_space_group_name_H-M 'P 1'
_symmetry_Int_Tables_number 1
_symmetry_space_group_name_Hall 'P 1'
loop_
_atom_site_label
_atom_site_type_symbol
_atom_site_fract_x
_atom_site_fract_y
_atom_site_fract_z
Ca1 Ca 0.0233 0.2500 0.4143
Ca2 Ca 0.1575 0.7500 0.1659
Ca3 Ca 0.2615 0.2500 0.0007
Ca4 Ca 0.3481 0.7500 0.8144
Ca5 Ca 0.3545 0.2500 0.3281
Ca6 Ca 0.4043 0.2500 0.6315
Ca7 Ca 0.5957 0.7500 0.3685
Ca8 Ca 0.6455 0.7500 0.6719
Ca9 Ca 0.6519 0.2500 0.1856
Ca10 Ca 0.7385 0.7500 0.9993
Ca11 Ca 0.8425 0.2500 0.8341
Ca12 Ca 0.9767 0.7500 0.5857
Mg1 Mg 0.0360 0.7500 0.8743
Mg2 Mg 0.1068 0.2500 0.7181
Mg3 Mg 0.2662 0.7500 0.4708
Mg4 Mg 0.7338 0.2500 0.5292
Mg5 Mg 0.8932 0.7500 0.2819
Mg6 Mg 0.9640 0.2500 0.1257
Cd1 Cd 0.4520 0.7500 0.0958
Cd2 Cd 0.5480 0.2500 0.9042
# Energy relative to the elements in eV/atom: -0.11
# DFT total energy in eV/atom: -1.88
# Space group: No. 11


# GGA-PBE NiPRu, optimized geometry
data_NiPRu
_chemical_formula_sum 'Ni1 P1 Ru1'
_cell_length_a 3.9357
_cell_length_b 3.9357
_cell_length_c 3.9357
_cell_angle_alpha 60.00
_cell_angle_beta 60.00
_cell_angle_gamma 60.00
_symmetry_space_group_name_H-M 'P 1'
_symmetry_Int_Tables_number 1
_symmetry_space_group_name_Hall 'P 1'
loop_
_atom_site_label
_atom_site_type_symbol
_atom_site_fract_x
_atom_site_fract_y
_atom_site_fract_z
Ni1 Ni 0.0000 0.0000 0.0000
P1 P 0.5000 0.5000 0.5000
Ru1 Ru 0.7500 0.7500 0.7500
# Energy relative to the elements in eV/atom: -0.07
# DFT total energy in eV/atom: -6.89
# Space group: No. 216


# GGA-PBE NaLa2Ge2, optimized geometry
data_NaLa2Ge2
_chemical_formula_sum 'Na2 La4 Ge4'
_cell_length_a 8.9921
_cell_length_b 8.9921
_cell_length_c 3.4954
_cell_angle_alpha 90.00
_cell_angle_beta 90.00
_cell_angle_gamma 90.00
_symmetry_space_group_name_H-M 'P 1'
_symmetry_Int_Tables_number 1
_symmetry_space_group_name_Hall 'P 1'
loop_
_atom_site_label
_atom_site_type_symbol
_atom_site_fract_x
_atom_site_fract_y
_atom_site_fract_z
Na1 Na 0.0000 0.0000 0.0000
Na2 Na 0.5000 0.5000 0.0000
La1 La 0.1329 0.3671 0.0000
La2 La 0.3671 0.8671 0.0000
La3 La 0.6329 0.1329 0.0000
La4 La 0.8671 0.6329 0.0000
Ge1 Ge 0.1674 0.6674 0.5000
Ge2 Ge 0.3326 0.1674 0.5000
Ge3 Ge 0.6674 0.8326 0.5000
Ge4 Ge 0.8326 0.3326 0.5000
# Energy above the most stable polymorph in this dataset in eV/atom: 0.170
# Energy relative to the elements in eV/atom: -0.47
# DFT total energy in eV/atom: -4.55
# Space group: No. 127


# GGA-PBE TlSnHgF2, optimized geometry
data_TlSnHgF2
_chemical_formula_sum 'Tl1 Sn1 Hg1 F2'
_cell_length_a 4.5638
_cell_length_b 4.5638
_cell_length_c 5.7842
_cell_angle_alpha 90.00
_cell_angle_beta 90.00
_cell_angle_gamma 90.00
_symmetry_space_group_name_H-M 'P 1'
_symmetry_Int_Tables_number 1
_symmetry_space_group_name_Hall 'P 1'
loop_
_atom_site_label
_atom_site_type_symbol
_atom_site_fract_x
_atom_site_fract_y
_atom_site_fract_z
Tl1 Tl 0.0000 0.0000 0.0000
Sn1 Sn 0.5000 0.5000 0.5000
Hg1 Hg 0.5000 0.5000 0.0000
F1 F 0.0000 0.5000 0.5000
F2 F 0.5000 0.0000 0.5000
# Energy above the most stable polymorph in this dataset in eV/atom: 0.000
# DFT total energy in eV/atom: -3.36
# Space group: No. 123
# ΔE_f (raw) in eV per atom: -1.279


# GGA-PBE ScSiTc, optimized geometry
data_ScSiTc
_chemical_formula_sum 'Sc1 Si1 Tc1'
_cell_length_a 4.1650
_cell_length_b 4.1650
_cell_length_c 3.3767
_cell_angle_alpha 90.00
_cell_angle_beta 90.00
_cell_angle_gamma 120.00
_symmetry_space_group_name_H-M 'P 1'
_symmetry_Int_Tables_number 1
_symmetry_space_group_name_Hall 'P 1'
loop_
_atom_site_label
_atom_site_type_symbol
_atom_site_fract_x
_atom_site_fract_y
_atom_site_fract_z
Sc1 Sc 0.0000 0.0000 0.0000
Si1 Si 0.6667 0.3333 0.5000
Tc1 Tc 0.3333 0.6667 0.5000
# Energy above the most stable polymorph in this dataset in eV/atom: 0.250
# DFT total energy in eV/atom: -7.86
# Space group: No. 187
# ΔE_f (raw) in eV per atom: -0.484


# GGA-PBE RbTmHgCl6, optimized geometry
data_RbTmHgCl6
_chemical_formula_sum 'Rb2 Tm2 Hg2 Cl12'
_cell_length_a 6.9865
_cell_length_b 6.9865
_cell_length_c 14.4948
_cell_angle_alpha 90.00
_cell_angle_beta 90.00
_cell_angle_gamma 120.00
_symmetry_space_group_name_H-M 'P 1'
_symmetry_Int_Tables_number 1
_symmetry_space_group_name_Hall 'P 1'
loop_
_atom_site_label
_atom_site_type_symbol
_atom_site_fract_x
_atom_site_fract_y
_atom_site_fract_z
Rb1 Rb 0.0000 0.0000 0.0000
Rb2 Rb 0.0000 0.0000 0.5000
Tm1 Tm 0.3333 0.6667 0.2500
Tm2 Tm 0.6667 0.3333 0.7500
Hg1 Hg 0.3333 0.6667 0.7500
Hg2 Hg 0.6667 0.3333 0.2500
Cl1 Cl 0.0110 0.3826 0.1443
Cl2 Cl 0.0110 0.6284 0.3557
Cl3 Cl 0.3716 0.3826 0.3557
Cl4 Cl 0.3716 0.9890 0.1443
Cl5 Cl 0.3826 0.0110 0.6443
Cl6 Cl 0.3826 0.3716 0.8557
Cl7 Cl 0.6174 0.6284 0.1443
Cl8 Cl 0.6174 0.9890 0.3557
Cl9 Cl 0.6284 0.0110 0.8557
Cl10 Cl 0.6284 0.6174 0.6443
Cl11 Cl 0.9890 0.3716 0.6443
Cl12 Cl 0.9890 0.6174 0.8557
# DFT total energy in eV/atom: -3.54
# Space group: No. 163
# ΔE_f (raw) in eV per atom: -1.668


# GGA-PBE HfMgRu2, optimized geometry
data_HfMgRu2
_chemical_formula_sum 'Hf1 Mg1 Ru2'
_cell_length_a 3.2128
_cell_length_b 3.2128
_cell_length_c 6.2895
_cell_angle_alpha 90.00
_cell_angle_beta 90.00
_cell_angle_gamma 90.00
_symmetry_space_group_name_H-M 'P 1'
_symmetry_Int_Tables_number 1
_symmetry_space_group_name_Hall 'P 1'
loop_
_atom_site_label
_atom_site_type_symbol
_atom_site_fract_x
_atom_site_fract_y
_atom_site_fract_z
Hf1 Hf 0.0000 0.0000 0.0000
Mg1 Mg 0.0000 0.0000 0.5000
Ru1 Ru 0.5000 0.5000 0.2504
Ru2 Ru 0.5000 0.5000 0.7496
# Energy relative to the elements in eV/atom: -0.36
# DFT total energy in eV/atom: -7.88
# Space group: No. 123


# GGA-PBE GaFeTcNi, optimized geometry
data_GaFeTcNi
_chemical_formula_sum 'Ga1 Fe1 Tc1 Ni1'
_cell_length_a 4.1901
_cell_length_b 4.1901
_cell_length_c 4.1901
_cell_angle_alpha 60.00
_cell_angle_beta 60.00
_cell_angle_gamma 60.00
_symmetry_space_group_name_H-M 'P 1'
_symmetry_Int_Tables_number 1
_symmetry_space_group_name_Hall 'P 1'
loop_
_atom_site_label
_atom_site_type_symbol
_atom_site_fract_x
_atom_site_fract_y
_atom_site_fract_z
Ga1 Ga 0.0000 0.0000 0.0000
Fe1 Fe 0.5000 0.5000 0.5000
Tc1 Tc 0.7500 0.7500 0.7500
Ni1 Ni 0.2500 0.2500 0.2500
# Energy relative to the elements in eV/atom: -0.06
# DFT total energy in eV/atom: -6.97
# Space group: No. 216


# GGA-PBE SrVCu2, optimized geometry
data_SrVCu2
_chemical_formula_sum 'Sr1 V1 Cu2'
_cell_length_a 4.8365
_cell_length_b 4.8365
_cell_length_c 4.8365
_cell_angle_alpha 60.00
_cell_angle_beta 60.00
_cell_angle_gamma 60.00
_symmetry_space_group_name_H-M 'P 1'
_symmetry_Int_Tables_number 1
_symmetry_space_group_name_Hall 'P 1'
loop_
_atom_site_label
_atom_site_type_symbol
_atom_site_fract_x
_atom_site_fract_y
_atom_site_fract_z
Sr1 Sr 0.0000 0.0000 0.0000
V1 V 0.5000 0.5000 0.5000
Cu1 Cu 0.2500 0.2500 0.2500
Cu2 Cu 0.7500 0.7500 0.7500
# Energy above the most stable polymorph in this dataset in eV/atom: 0.000
# Energy relative to the elements in eV/atom: 0.52
# DFT total energy in eV/atom: -4.23
# Space group: No. 225


# GGA-PBE RbMo2P, optimized geometry
data_RbMo2P
_chemical_formula_sum 'Rb2 Mo4 P2'
_cell_length_a 9.4229
_cell_length_b 9.4229
_cell_length_c 9.4229
_cell_angle_alpha 150.19
_cell_angle_beta 150.19
_cell_angle_gamma 42.67
_symmetry_space_group_name_H-M 'P 1'
_symmetry_Int_Tables_number 1
_symmetry_space_group_name_Hall 'P 1'
loop_
_atom_site_label
_atom_site_type_symbol
_atom_site_fract_x
_atom_site_fract_y
_atom_site_fract_z
Rb1 Rb 0.0000 0.0000 0.0000
Rb2 Rb 0.7500 0.2500 0.5000
Mo1 Mo 0.3453 0.6250 0.2203
Mo2 Mo 0.3750 0.5953 0.7203
Mo3 Mo 0.4047 0.1250 0.7797
Mo4 Mo 0.8750 0.6547 0.2797
P1 P 0.2500 0.7500 0.5000
P2 P 0.5000 0.5000 0.0000
# Energy relative to the elements in eV/atom: 0.98
# DFT total energy in eV/atom: -6.03
# Space group: No. 122


# GGA-PBE LiTaBr2, optimized geometry
data_LiTaBr2
_chemical_formula_sum 'Li1 Ta1 Br2'
_cell_length_a 3.2613
_cell_length_b 4.2271
_cell_length_c 6.5125
_cell_angle_alpha 90.00
_cell_angle_beta 101.21
_cell_angle_gamma 90.00
_symmetry_space_group_name_H-M 'P 1'
_symmetry_Int_Tables_number 1
_symmetry_space_group_name_Hall 'P 1'
loop_
_atom_site_label
_atom_site_type_symbol
_atom_site_fract_x
_atom_site_fract_y
_atom_site_fract_z
Li1 Li 0.0000 0.0000 0.0000
Ta1 Ta 0.5000 0.0000 0.5000
Br1 Br 0.3874 0.5000 0.2478
Br2 Br 0.6126 0.5000 0.7522
# Energy above the most stable polymorph in this dataset in eV/atom: 0.301
# DFT total energy in eV/atom: -4.28
# Space group: No. 10
# ΔE_f (raw) in eV per atom: -0.002